Computed, not measured: a geometry-optimized AlCoAgF6 structure at the GGA+U level of DFT.

Lattice parameters (Å, degrees): 5.239 5.239 10.475 90.00 90.00 120.00
Fractional positions:
Al 0.667 0.333 0.250
Al 0.333 0.667 0.750
Co 0.333 0.667 0.250
Co 0.667 0.333 0.750
Ag 0.000 0.000 0.000
Ag 0.000 0.000 0.500
F 0.642 0.610 0.151
F 0.968 0.358 0.151
F 0.358 0.968 0.651
F 0.032 0.642 0.849
F 0.390 0.358 0.349
F 0.968 0.610 0.349
F 0.610 0.968 0.849
F 0.642 0.032 0.349
F 0.032 0.390 0.651
F 0.390 0.032 0.151
F 0.610 0.642 0.651
F 0.358 0.390 0.849

Output
The total energy comes out at -89.28 eV for the cell shown. The density of states at the Fermi level is 13.8 states/eV/cell.